Rb3Mn2InF9: relaxed, PBE with a Hubbard U.

Cell lengths 6.2217, 6.2217, 7.6640 Å; angles 90.00, 90.00, 120.00 degrees
With the nearest neighbours (Å) after each atom.
Fractional coordinates of all 15 atoms:
1 Rb 0.0000 0.0000 0.0000  12 F 3.09-3.11
2 Rb 0.3333 0.6667 0.6699  12 F 3.10-3.18
3 Rb 0.6667 0.3333 0.3301  12 F 3.10-3.18
4 Mn 0.3333 0.6667 0.1568  6 F 2.14-2.16
5 Mn 0.6667 0.3333 0.8432  6 F 2.14-2.16
6 In 0.0000 0.0000 0.5000  6 F 2.32
7 F 0.0000 0.5000 0.0000  2 Mn 2.16
8 F 0.1734 0.3467 0.3215  1 Mn 2.14, 1 In 2.32
9 F 0.1734 0.8266 0.3215  1 Mn 2.14, 1 In 2.32
10 F 0.3467 0.1734 0.6785  1 Mn 2.14, 1 In 2.32
11 F 0.5000 0.0000 0.0000  2 Mn 2.16
12 F 0.5000 0.5000 0.0000  2 Mn 2.16
13 F 0.6533 0.8266 0.3215  1 Mn 2.14, 1 In 2.32
14 F 0.8266 0.1734 0.6785  1 Mn 2.14, 1 In 2.32
15 F 0.8266 0.6533 0.6785  1 Mn 2.14, 1 In 2.32

Values from the calculation:
As for the total moment: 9.37 μB/f.u. For the density of states at the Fermi level, the calculation gives 3.25 states/eV/f.u. The volume is 17.13 Å³ per atom. The total energy is -5.118 eV/atom. Its density is 4.21 Mg/m³.